Record 1
A plane-wave DFT calculation with GGA-PBE was carried out for a relaxed RbSnN2 crystal.

Cell: 7.654 7.654 7.654 Å, 25.90 25.90 25.90°
Last column: magnetic moment on the atom in μB.
Element x y z (fractional)
Sn: 0.500 0.500 0.500  -0.03
Rb: 0.000 0.000 0.000  0.01
N: 0.882 0.882 0.882  0.37
N: 0.118 0.118 0.118  0.37



Record 2
A plane-wave DFT calculation with GGA-PBE was carried out for a relaxed Zr2TeN crystal.

Cell: 3.550 3.550 6.941 Å, 75.18 75.18 60.00°
Element x y z (fractional)
Te: 0.500 0.500 0.500
Zr: 0.278 0.278 0.167
Zr: 0.722 0.722 0.833
N: 0.000 0.000 0.000

Computed properties:
Offset from the most stable computed form, meV/atom: 0.0



Record 3
A plane-wave DFT calculation with GGA-PBE was carried out for a relaxed CrSnN2 crystal.

Cell: 3.250 3.250 17.839 Å, 90.00 90.00 120.00°
Last column: magnetic moment on the atom in μB.
Element x y z (fractional)
Cr: 0.000 0.000 0.353  1.66
Cr: 0.333 0.667 0.020  1.66
Cr: 0.667 0.333 0.686  1.66
Sn: 0.000 0.000 0.515  -0.01
Sn: 0.333 0.667 0.182  -0.01
Sn: 0.667 0.333 0.848  -0.01
N: 0.000 0.000 0.241  -0.03
N: 0.333 0.667 0.907  -0.03
N: 0.667 0.333 0.574  -0.03
N: 0.000 0.000 0.696  -0.20
N: 0.333 0.667 0.363  -0.20
N: 0.667 0.333 0.029  -0.20



Record 4
A plane-wave DFT calculation with GGA-PBE was carried out for a relaxed CsAsRu crystal.

Cell: 4.092 4.090 13.309 Å, 92.20 90.46 60.00°
Element x y z (fractional)
Cs: 0.132 0.823 0.175
Cs: 0.769 0.581 0.786
Ru: 0.788 0.526 0.418
Ru: 0.447 0.213 0.552
As: 0.112 0.885 0.587
As: 0.456 0.185 0.370

Computed properties:
E_form, meV/atom: -50



Record 5
A plane-wave DFT calculation with GGA-PBE was carried out for a relaxed DyPuCu2S4 crystal.

Cell: 6.509 5.912 5.912 Å, 67.61 56.41 56.41°
Last column: magnetic moment on the atom in μB.
Element x y z (fractional)
Dy: 0.500 0.499 0.501  0.08
Pu: 0.000 0.000 0.000  5.18
Cu: 0.182 0.318 0.318  -0.02
Cu: 0.818 0.682 0.682  -0.02
S: 0.464 0.058 0.520  -0.04
S: 0.042 0.943 0.479  -0.04
S: 0.958 0.521 0.057  -0.04
S: 0.536 0.480 0.942  -0.04



Record 6
A plane-wave DFT calculation with GGA-PBE was carried out for a relaxed GaCuF2 crystal.

Cell: 5.073 17.803 4.050 Å, 90.00 142.97 90.00°
Element x y z (fractional)
Cu: 0.585 0.251 0.326
Cu: 0.085 0.749 0.826
Cu: 0.585 0.751 0.826
Cu: 0.085 0.249 0.326
Ga: 0.584 0.863 0.328
Ga: 0.084 0.137 0.828
Ga: 0.584 0.363 0.828
Ga: 0.084 0.637 0.328
F: 0.584 0.071 0.329
F: 0.084 0.929 0.829
F: 0.584 0.571 0.829
F: 0.084 0.429 0.329
F: 0.084 0.121 0.329
F: 0.584 0.879 0.829
F: 0.084 0.621 0.829
F: 0.584 0.379 0.329

Computed properties:
Offset from the most stable computed form, meV/atom: 0.0



Record 7
A plane-wave DFT calculation with GGA-PBE was carried out for a relaxed SmZnSi2 crystal.

Cell: 3.842 4.918 4.918 Å, 117.45 90.00 90.00°
Element x y z (fractional)
Sm: 0.000 0.054 0.946
Zn: 0.500 0.554 0.446
Si: 0.500 0.054 0.446
Si: 0.500 0.554 0.946



Record 8
A plane-wave DFT calculation with GGA-PBE was carried out for a relaxed ErZrInRu crystal.

Cell: 3.317 3.317 7.753 Å, 90.00 90.00 90.00°
Element x y z (fractional)
Er: 0.500 0.500 0.786
Zr: 0.500 0.500 0.358
In: 0.000 0.000 0.086
Ru: 0.000 0.000 0.555

Computed properties:
E_form, meV/atom: -474
Offset from the most stable computed form, meV/atom: 0.0



Record 9
A plane-wave DFT calculation with GGA-PBE was carried out for a relaxed Ce3Sb4Pb crystal.

Cell: 6.406 6.406 6.406 Å, 90.00 90.00 90.00°
Last column: magnetic moment on the atom in μB.
Element x y z (fractional)
Pb: 0.000 0.000 0.000  -0.02
Sb: 0.500 0.000 0.000  -0.04
Sb: 0.000 0.500 0.000  -0.04
Sb: 0.000 0.000 0.500  -0.04
Sb: 0.500 0.500 0.500  -0.03
Ce: 0.000 0.500 0.500  0.66
Ce: 0.500 0.000 0.500  0.66
Ce: 0.500 0.500 0.000  0.66



Record 10
A plane-wave DFT calculation with GGA-PBE was carried out for a relaxed Y2AgRh crystal.

Cell: 5.688 5.688 5.025 Å, 76.35 76.35 34.81°
Element x y z (fractional)
Ag: 0.479 0.479 0.466
Rh: 0.759 0.759 0.807
Y: 0.024 0.024 0.926
Y: 0.238 0.238 0.301

Computed properties:
E_form, meV/atom: -395



Record 11
A plane-wave DFT calculation with GGA-PBE was carried out for a relaxed Ho3TlCo crystal.

Cell: 3.748 8.716 8.716 Å, 69.88 90.00 90.00°
Element x y z (fractional)
Ho: 0.863 0.363 0.830
Ho: 0.863 0.025 0.663
Ho: 0.863 0.611 0.078
Ho: 0.363 0.000 0.053
Ho: 0.863 0.778 0.415
Ho: 0.363 0.388 0.440
Tl: 0.363 0.694 0.746
Tl: 0.863 0.194 0.246
Co: 0.363 0.694 0.246
Co: 0.363 0.194 0.746

Computed properties:
E_form, meV/atom: -196
Offset from the most stable computed form, meV/atom: 17.1



Record 12
A plane-wave DFT calculation with GGA-PBE was carried out for a relaxed SmSc3 crystal.

Cell: 5.550 6.349 6.349 Å, 91.64 90.00 90.00°
Element x y z (fractional)
Sm: 0.750 0.578 0.422
Sm: 0.250 0.422 0.578
Sc: 0.250 0.089 0.911
Sc: 0.750 0.911 0.089
Sc: 0.250 0.600 0.076
Sc: 0.750 0.400 0.924
Sc: 0.250 0.924 0.400
Sc: 0.750 0.076 0.600

Computed properties:
E_form, meV/atom: 229
Offset from the most stable computed form, meV/atom: 183.6



For the records above, the corresponding mass density values read 5.11, 7.43, 6.07, 5.32, 7.00, 5.16, 5.48, 9.24, 7.04, 7.18, 9.41, 4.24 Mg/m³.
For the records above, the corresponding total energy values read -0.345, -0.607, -0.558, -0.366, -0.480, -0.313, -0.323, -0.496, -0.403, -0.454, -0.356, -0.419 Ry per atom.